## Nb3Sb3O13 (PBE-GGA)

Data for a geometry-optimized Nb3Sb3O13 structure.

a = 7.5855 Å, b = 7.5855 Å, c = 7.5743 Å
α = 119.81°, β = 119.81°, γ = 59.33°
Fractional positions:
Nb  0.0000  0.0000  0.0000
Nb  0.0010  0.4973  0.5282
Nb  0.4973  0.0010  0.5282
Sb  0.0029  0.0029  0.5089
Sb  0.5171  0.9884  0.0883
Sb  0.9884  0.5171  0.0883
O  0.0581  0.6840  0.4160
O  0.0663  0.0663  0.8160
O  0.0662  0.6981  0.8198
O  0.3043  0.3043  0.5599
O  0.3135  0.9308  0.5651
O  0.3320  0.9529  0.1855
O  0.6753  0.6753  0.9924
O  0.6840  0.0581  0.4160
O  0.6981  0.0662  0.8198
O  0.7033  0.7033  0.4610
O  0.9308  0.3135  0.5651
O  0.9479  0.9479  0.1984
O  0.9529  0.3320  0.1855

The value obtained for the total energy is -7.636 eV/atom. Its volume is 307.5 Å³/f.u.